# Ac2LaTbP4 | the Alexandria database | PBE | relaxed
data_Ac2LaTbP4
_chemical_formula_sum 'Ac2 La1 Tb1 P4'
_cell_length_a 7.447
_cell_length_b 4.305
_cell_length_c 7.456
_cell_angle_alpha 90.00
_cell_angle_beta 109.41
_cell_angle_gamma 90.00
_space_group_name_H-M_alt 'P 1 2/m 1'
_space_group_IT_number 10
loop_
_space_group_symop_operation_xyz
'x,y,z'
'-x,-y,-z'
'-x,y,-z'
'x,-y,z'
loop_
_atom_site_label
_atom_site_type_symbol
_atom_site_fract_x
_atom_site_fract_y
_atom_site_fract_z
Ac1 Ac 0.000 0.000 0.000
Ac2 Ac 0.500 0.500 0.000
La1 La 0.000 0.500 0.500
Tb1 Tb 0.500 0.000 0.500
P1 P 0.251 0.000 0.736
P2 P 0.261 0.500 0.268
# Total DFT energy (no corrections) (eV per cell): -51.39
# Size of the total moment (μB per atom): 0.0000
# V (Å³/cell): 225.5